[1]
The following is a DFT calculation (PBE) of a relaxed NbHg2As crystal.

abc: 6.250 6.250 6.250
angles: 100.91 100.91 128.42
Fractional positions:
Nb: 0.000 0.000 0.000
Nb: 0.750 0.250 0.500
Hg: 0.132 0.625 0.007
Hg: 0.375 0.382 0.507
Hg: 0.618 0.125 0.993
Hg: 0.875 0.868 0.493
As: 0.250 0.750 0.500
As: 0.500 0.500 0.000

N(E_F): 0.82 states/eV/atom
Space group: I-42d, No. 122
Uncorrected energy: -3.43 eV/atom



[2]
The following is a DFT calculation (PBE) of a relaxed LaCdRh crystal.

abc: 5.467 4.971 5.497
angles: 90.00 101.18 90.00
Fractional positions:
La: 0.120 0.250 0.302
La: 0.880 0.750 0.698
Cd: 0.497 0.750 0.144
Cd: 0.503 0.250 0.856
Rh: 0.340 0.750 0.610
Rh: 0.660 0.250 0.390

N(E_F): 0.62 states/eV/atom
Space group: P2_1/m, No. 11
Uncorrected energy: -4.94 eV/atom



[3]
The following is a DFT calculation (PBE) of a relaxed ScPI2N crystal.

abc: 5.804 5.804 3.457
angles: 90.00 90.00 90.00
Fractional positions:
Sc: 0.000 0.000 0.000
P: 0.500 0.500 0.500
I: 0.000 0.500 0.500
I: 0.500 0.000 0.500
N: 0.500 0.500 0.000

ΔE_f (raw): 307 meV/atom
N(E_F): 0.72 states/eV/atom
ΔE to the lowest computed polymorph: 0 meV/atom
Space group: P4/mmm, No. 123



[4]
The following is a DFT calculation (PBE) of a relaxed YInTc2 crystal.

abc: 6.104 6.104 6.104
angles: 102.60 102.60 124.32
Fractional positions:
Y: 0.000 0.000 0.000
Y: 0.750 0.250 0.500
In: 0.250 0.750 0.500
In: 0.500 0.500 0.000
Tc: 0.146 0.625 0.021
Tc: 0.375 0.396 0.521
Tc: 0.604 0.125 0.979
Tc: 0.875 0.854 0.479

N(E_F): 1.15 states/eV/atom
Space group: I-42d, No. 122
Uncorrected energy: -6.70 eV/atom



[5]
The following is a DFT calculation (PBE) of a relaxed TaCuRh crystal.

abc: 8.118 2.879 4.742
angles: 90.00 90.00 90.00
Fractional positions:
Ta: 0.000 0.000 0.000
Ta: 0.500 0.000 0.000
Cu: 0.000 0.500 0.500
Cu: 0.500 0.500 0.500
Rh: 0.250 0.500 0.164
Rh: 0.750 0.500 0.836

N(E_F): 0.66 states/eV/atom
ΔE to the lowest computed polymorph: 688 meV/atom
Space group: Pmma, No. 51



[6]
The following is a DFT calculation (PBE) of a relaxed CuAgF3 crystal.

abc: 7.270 7.270 6.947
angles: 95.06 95.06 23.81
Fractional positions:
Cu: 0.087 0.087 0.338
Cu: 0.913 0.913 0.662
Ag: 0.341 0.341 0.160
Ag: 0.659 0.659 0.840
F: 0.178 0.178 0.117
F: 0.356 0.356 0.506
F: 0.494 0.494 0.767
F: 0.506 0.506 0.233
F: 0.644 0.644 0.494
F: 0.822 0.822 0.883

ΔE_f (raw): -1253 meV/atom
N(E_F): 0.68 states/eV/atom
ΔE to the lowest computed polymorph: 60 meV/atom
Space group: C2/m, No. 12



[7]
The following is a DFT calculation (PBE) of a relaxed CaPb4 crystal.

abc: 5.825 5.825 5.825
angles: 90.00 90.00 90.00
Fractional positions:
Ca: 0.000 0.000 0.000
Pb: 0.000 0.000 0.500
Pb: 0.000 0.500 0.000
Pb: 0.500 0.000 0.000
Pb: 0.500 0.500 0.500

N(E_F): 1.15 states/eV/atom
ΔE to the lowest computed polymorph: 713 meV/atom
Space group: Pm-3m, No. 221



[8]
The following is a DFT calculation (PBE) of a relaxed CeHo2C crystal.

abc: 9.944 9.944 9.944
angles: 20.08 20.08 20.08
Fractional positions:
Ce: 0.000 0.000 0.000
Ho: 0.120 0.120 0.120
Ho: 0.880 0.880 0.880
C: 0.500 0.500 0.500

N(E_F): 1.63 states/eV/atom
ΔE to the lowest computed polymorph: 0 meV/atom
Space group: R-3m, No. 166



[9]
The following is a DFT calculation (PBE) of a relaxed Sm2Al4Zn3Ga crystal.

abc: 4.199 4.199 10.905
angles: 90.00 90.00 90.00
Fractional positions:
Sm: 0.000 0.500 0.248
Sm: 0.500 0.000 0.752
Al: 0.000 0.000 0.500
Al: 0.000 0.500 0.862
Al: 0.500 0.000 0.138
Al: 0.500 0.500 0.500
Zn: 0.000 0.000 0.000
Zn: 0.000 0.500 0.638
Zn: 0.500 0.000 0.362
Ga: 0.500 0.500 0.000

N(E_F): 0.33 states/eV/atom
Space group: P-4m2, No. 115
Uncorrected energy: -3.53 eV/atom



[10]
The following is a DFT calculation (PBE) of a relaxed AsAu3Br crystal.

abc: 4.988 4.988 4.988
angles: 90.00 90.00 90.00
Fractional positions:
As: 0.000 0.000 0.000
Au: 0.000 0.000 0.500
Au: 0.000 0.500 0.000
Au: 0.500 0.000 0.000
Br: 0.500 0.500 0.500

ΔE_f (raw): 361 meV/atom
N(E_F): 1.52 states/eV/atom
ΔE to the lowest computed polymorph: 0 meV/atom
Space group: Pm-3m, No. 221



[11]
The following is a DFT calculation (PBE) of a relaxed SrCo2Si crystal.

abc: 2.945 2.945 7.049
angles: 90.00 90.00 90.00
Fractional positions:
Sr: 0.000 0.000 0.000
Co: 0.500 0.500 0.324
Co: 0.500 0.500 0.676
Si: 0.000 0.000 0.500

ΔE_f (raw): 142 meV/atom
N(E_F): 0.97 states/eV/atom
Space group: P4/mmm, No. 123



[12]
The following is a DFT calculation (PBE) of a relaxed Ta4O crystal.

abc: 3.257 3.257 7.404
angles: 90.00 90.00 90.00
Fractional positions:
Ta: 0.000 0.000 0.000
Ta: 0.000 0.000 0.500
Ta: 0.500 0.500 0.216
Ta: 0.500 0.500 0.784
O: 0.500 0.500 0.500

ΔE_f (raw): -577 meV/atom
N(E_F): 0.45 states/eV/atom
ΔE to the lowest computed polymorph: 0 meV/atom
Space group: P4/mmm, No. 123



Among the records above, which one has the highest N(E_F)?
CeHo2C